# AcPm2Er

Crystalline AcPm2Er at its relaxed geometry (PBE, the Alexandria database).

Results
Energy relative to the lowest polymorph listed for this composition   128 meV per atom
E   -17.5 eV/f.u.

Cell: 3.622 3.622 13.011 Å, 82.00 82.00 60.00°
Atoms (fractional coordinates):
Ac (0.000, 0.000, 0.000)
Er (0.500, 0.500, 0.500)
Pm (0.093, 0.093, 0.722)
Pm (0.907, 0.907, 0.278)